Entry from Alexandria: a PBEsol-optimized structure of ZnFeRe2S (meta-GGA SCAN).

```
ZnFeRe2S
1.0
4.529 0.000 0.000
0.000 4.529 0.000
0.000 0.000 4.208
Zn Fe Re S
1 1 2 1
Direct
0.000 0.000 0.000
0.000 0.000 0.500
0.000 0.500 0.000
0.500 0.000 0.000
0.500 0.500 0.500
```

## Properties
- total moment (μB per cell) = 5.5
- raw formation energy (kcal/mol of atoms) = 51.1
- DOS(E_F) (states/eV/f.u.) = 5.061
- symmetry = P4/mmm
- electronic total energy (eV per formula unit) = -172.4